# GeWOF2 (PBE with a Hubbard U, relaxed)
# Symmetry: P4/mmm
# Total magnetization in μB per formula unit: 4.4
# Energy above the lowest structure with this stoichiometry in meV/atom: 526.8
data_GeWOF2
_symmetry_space_group_name_H-M 'P 1'
_symmetry_Int_Tables_number 1
_cell_length_a 4.165
_cell_length_b 4.165
_cell_length_c 4.403
_cell_angle_alpha 90.00
_cell_angle_beta 90.00
_cell_angle_gamma 90.00
loop_
_symmetry_equiv_pos_as_xyz
'x,y,z'
loop_
_atom_site_label
_atom_site_fract_x
_atom_site_fract_y
_atom_site_fract_z
Ge1 0.000 0.000 0.000
O1 0.000 0.000 0.500
W1 0.500 0.500 0.500
F1 0.000 0.500 0.000
F2 0.500 0.000 0.000